# 1
Density functional theory data (PBE) for CaTl3Hg6 after structural relaxation.

Output
M_tot, Bohr magnetons per cell: 0.000
DFT total energy, eV per cell: -24.46
Polymorph energy (0 for the lowest one), meV/atom: 0
DFT formation energy, meV per atom: -132

Unit cell a=5.111 b=9.903 c=13.197 alpha=121.26 beta=90.00 gamma=90.00
Fractional coordinates of all 20 atoms:
Ca: 0.750 0.659 0.641
Ca: 0.250 0.341 0.359
Tl: 0.750 0.850 0.340
Tl: 0.250 0.150 0.660
Tl: 0.750 0.424 0.783
Tl: 0.250 0.576 0.217
Tl: 0.750 0.150 0.895
Tl: 0.250 0.850 0.105
Hg: 0.750 0.611 0.062
Hg: 0.250 0.389 0.938
Hg: 0.750 0.124 0.188
Hg: 0.250 0.876 0.812
Hg: 0.750 0.955 0.610
Hg: 0.250 0.045 0.390
Hg: 0.750 0.268 0.479
Hg: 0.250 0.732 0.521
Hg: 0.750 0.528 0.352
Hg: 0.250 0.472 0.648
Hg: 0.750 0.815 0.926
Hg: 0.250 0.185 0.074

***

# 2
Density functional theory data (PBE) for BaIn2Ru after structural relaxation.

Output
M_tot, Bohr magnetons per cell: 0.000
DFT total energy, eV per cell: -16.92
DFT formation energy, meV per atom: -61

Unit cell a=3.435 b=3.435 c=8.377 alpha=90.00 beta=90.00 gamma=90.00
Fractional coordinates of all 4 atoms:
Ba: 0.500 0.500 0.750
In: 0.000 0.000 0.070
In: 0.000 0.000 0.430
Ru: 0.500 0.500 0.250